Entry 1:
Below is a geometry-optimized K12Rb16Ba structure, with properties calculated at the PBE level.

Unit cell a=14.615 b=14.615 c=14.490 alpha=109.22 beta=109.22 gamma=109.67
Fractional coordinates of all 29 atoms:
K  0.000  0.000  0.000
K  0.257  0.627  0.627
K  0.260  0.441  0.820
K  0.441  0.260  0.820
K  0.442  0.626  0.442
K  0.445  0.815  0.001
K  0.626  0.442  0.442
K  0.627  0.257  0.627
K  0.811  0.999  0.186
K  0.815  0.445  0.001
K  0.816  0.816  0.633
K  0.999  0.811  0.186
Rb  0.036  0.350  0.218
Rb  0.039  0.039  0.541
Rb  0.221  0.947  0.817
Rb  0.225  0.624  0.131
Rb  0.272  0.272  0.450
Rb  0.313  0.907  0.499
Rb  0.350  0.036  0.218
Rb  0.624  0.225  0.131
Rb  0.627  0.627  0.172
Rb  0.627  0.985  0.815
Rb  0.628  0.944  0.409
Rb  0.629  0.629  0.816
Rb  0.907  0.313  0.499
Rb  0.944  0.628  0.409
Rb  0.947  0.221  0.817
Rb  0.985  0.627  0.815
Ba  0.312  0.312  0.095

Properties
* ΔE_f: 0.8 eV per formula unit



Entry 2:
Below is a geometry-optimized K4Rb15Ba structure, with properties calculated at the PBE level.

Unit cell a=7.058 b=7.058 c=34.250 alpha=90.00 beta=90.00 gamma=90.00
Fractional coordinates of all 20 atoms:
K  0.000  0.000  0.100
K  0.000  0.000  0.301
K  0.000  0.000  0.699
K  0.000  0.000  0.900
Rb  0.000  0.500  0.000
Rb  0.000  0.500  0.200
Rb  0.000  0.500  0.400
Rb  0.000  0.500  0.600
Rb  0.000  0.500  0.800
Rb  0.500  0.000  0.000
Rb  0.500  0.000  0.200
Rb  0.500  0.000  0.400
Rb  0.500  0.000  0.600
Rb  0.500  0.000  0.800
Rb  0.500  0.500  0.100
Rb  0.500  0.500  0.299
Rb  0.500  0.500  0.500
Rb  0.500  0.500  0.701
Rb  0.500  0.500  0.900
Ba  0.000  0.000  0.500

Properties
* ΔE_f: 0.7 eV per formula unit



Entry 3:
Below is a geometry-optimized K4Rb7Ba structure, with properties calculated at the PBE level.

Unit cell a=4.835 b=4.835 c=48.148 alpha=90.00 beta=90.00 gamma=120.00
Fractional coordinates of all 12 atoms:
K  0.333  0.667  0.165
K  0.333  0.667  0.417
K  0.667  0.333  0.583
K  0.667  0.333  0.835
Rb  0.000  0.000  0.247
Rb  0.000  0.000  0.500
Rb  0.000  0.000  0.753
Rb  0.333  0.667  0.666
Rb  0.333  0.667  0.918
Rb  0.667  0.333  0.082
Rb  0.667  0.333  0.334
Ba  0.000  0.000  0.000

Properties
* ΔE_f: 0.3 eV per formula unit



Entry 4:
Below is a geometry-optimized K15Rb4Ba structure, with properties calculated at the PBE level.

Unit cell a=6.791 b=6.791 c=32.636 alpha=90.00 beta=90.00 gamma=90.00
Fractional coordinates of all 20 atoms:
K  0.000  0.000  0.000
K  0.000  0.000  0.199
K  0.000  0.000  0.399
K  0.000  0.000  0.601
K  0.000  0.000  0.801
K  0.000  0.500  0.097
K  0.000  0.500  0.298
K  0.000  0.500  0.500
K  0.000  0.500  0.702
K  0.000  0.500  0.903
K  0.500  0.000  0.097
K  0.500  0.000  0.298
K  0.500  0.000  0.500
K  0.500  0.000  0.702
K  0.500  0.000  0.903
Rb  0.500  0.500  0.196
Rb  0.500  0.500  0.399
Rb  0.500  0.500  0.601
Rb  0.500  0.500  0.804
Ba  0.500  0.500  0.000

Properties
* ΔE_f: 0.5 eV per formula unit